First-principles (GGA-PBE) data for crystalline YLuSc2 at its relaxed geometry, as listed in the Alexandria database.

The offset from the most stable computed form comes out at 0.03 eV per formula unit. The density of states at the Fermi level is 7.11 states/eV/f.u.

The space group is R-3m (No. 166, hexagonal axes) and the conventional cell measures 3.4052, 3.4052 and 32.9033 Å, with angles of 90.00, 90.00 and 120.00 degrees. Symmetry generates all atoms from Y at (0.0000, 0.0000, 0.0000), Lu at (0.0000, 0.0000, 0.5000) and Sc at (0.0000, 0.0000, 0.2490).